# KVCoW2

An optimized crystal structure of KVCoW2 (PBE-GGA, Alexandria via LeMat-Bulk).

Geometry as POSCAR:
```
KVCoW2
1.0
4.487 0.000 0.000
0.000 4.100 0.000
0.000 0.000 4.487
W K V Co
2 1 1 1
Direct
0.000 0.000 0.500 W
0.500 0.000 0.000 W
0.000 0.000 0.000 K
0.000 0.500 0.000 V
0.500 0.500 0.500 Co
```

Values from the calculation:
VASP energy (eV per atom): -5.23
V (Å³/atom): 16.5
ΔH_f (0 K) (eV/atom): 3.421
Total magnetization (μB per formula unit): 0.00

=====

# KVZn2Co

An optimized crystal structure of KVZn2Co (PBE-GGA, Alexandria via LeMat-Bulk).

Geometry as POSCAR:
```
KVZn2Co
1.0
-2.483 -1.303 -4.225
-3.781 -3.176 3.201
-2.990 4.065 0.503
Zn Co V K
2 1 1 1
Direct
0.500 0.000 0.000 Zn
0.000 0.000 0.500 Zn
0.500 0.500 0.500 Co
0.000 0.000 0.000 V
0.000 0.500 0.000 K
```

Values from the calculation:
VASP energy (eV per atom): -2.50
V (Å³/atom): 30.3
ΔH_f (0 K) (eV/atom): 1.475
Total magnetization (μB per formula unit): 6.73

=====

# KZrVCo2

An optimized crystal structure of KZrVCo2 (PBE-GGA, Alexandria via LeMat-Bulk).

Geometry as POSCAR:
```
KZrVCo2
1.0
-2.002 -2.294 3.368
-1.304 -3.467 -3.136
3.888 -2.199 0.814
Co K V Zr
2 1 1 1
Direct
0.000 0.000 0.500 Co
0.500 0.000 0.000 Co
0.500 0.500 0.500 K
0.000 0.000 0.000 V
0.000 0.500 0.000 Zr
```

Values from the calculation:
VASP energy (eV per atom): -5.54
V (Å³/atom): 20.0
ΔH_f (0 K) (eV/atom): 1.059
Total magnetization (μB per formula unit): 1.33

=====

# KCoW2

An optimized crystal structure of KCoW2 (PBE-GGA, Alexandria via LeMat-Bulk).

Geometry as POSCAR:
```
KCoW2
1.0
3.521 0.000 0.000
0.000 2.769 0.029
0.000 2.346 8.503
W K Co
2 1 1
Direct
0.500 0.183 0.281 W
0.000 0.938 0.087 W
0.500 0.796 0.723 K
0.000 0.583 0.409 Co
```

Values from the calculation:
VASP energy (eV per atom): -7.65
V (Å³/atom): 20.7
E above lowest polymorph (kJ per mole of atoms): 7.0
ΔH_f (0 K) (eV/atom): 0.879
Total magnetization (μB per formula unit): 0.00